Entry 1:
Entry from the Alexandria database: crystalline KZnMo2 at its relaxed geometry (PBE).

Cell: 2.6561 4.0525 8.1136 Å, 90.00 90.00 90.00°
Atoms (fractional coordinates):
1 K 0.5000 0.5000 0.7400
2 Mo 0.0000 0.0000 0.0844
3 Mo 0.5000 0.5000 0.2520
4 Zn 0.0000 0.0000 0.4236

Results
Calculated volume, Å³ per atom: 21.83
DFT formation energy, eV/atom: 0.67
Symmetry: Pmm2
Fermi-level density of states, states/eV/f.u.: 2.52
Raw total energy, eV per atom: -5.3412
ρ, g/cm³: 5.6
Magnetic moment, μB/f.u.: 0.0



Entry 2:
Entry from the Alexandria database: crystalline K4ZnMo at its relaxed geometry (PBE).

Cell: 7.5363 7.5363 7.5363 Å, 60.00 60.00 60.00°
Each line ends with the local moment (μB).
Atoms (fractional coordinates):
1 K 0.8737 0.3754 0.3754  0.00
2 K 0.3754 0.3754 0.8737  0.00
3 K 0.3754 0.8737 0.3754  0.00
4 K 0.3754 0.3754 0.3754  0.00
5 Zn 0.0000 0.0000 0.0000  0.01
6 Mo 0.7500 0.7500 0.7500  3.89

Results
Calculated volume, Å³ per atom: 50.44
DFT formation energy, eV/atom: 1.07
Symmetry: F-43m
Fermi-level density of states, states/eV/f.u.: 3.12
Raw total energy, eV per atom: -1.6750
ρ, g/cm³: 1.7
Magnetic moment, μB/f.u.: 5.1